First-principles (PBE) data for NaCo2PbC after structural relaxation, as listed in Alexandria.

For the calculated total energy, the calculation gives -26.00 eV/cell. For the formation energy from the elements, the calculation gives 493 meV per atom.

The structure belongs to space group P4/mmm (No. 123); the cell edges are 3.8671, 3.8671 and 4.7621 Å and the angles 90.00°, 90.00° and 90.00°. Symmetry generates all atoms from Na at (0.0000, 0.0000, 0.0000), Co at (0.0000, 0.5000, 0.5000), Pb at (0.5000, 0.5000, 0.0000) and C at (0.0000, 0.0000, 0.5000).